SrEuTlPt: relaxed, PBE-GGA.

Properties
density of states at the Fermi level: 2.463 states/eV per atom
electronic total energy: -5.60 eV per atom
crystal system: cubic

```
data_SrEuTlPt
_space_group_name_H-M_alt 'F -4 3 m'
_space_group_IT_number 216
_space_group_name_Hall 'F -4 2 3'
_cell_length_a 7.631
_cell_length_b 7.631
_cell_length_c 7.631
_cell_angle_alpha 90.00
_cell_angle_beta 90.00
_cell_angle_gamma 90.00
loop_
_atom_site_label
_atom_site_fract_x
_atom_site_fract_y
_atom_site_fract_z
Sr1 0.000 0.000 0.000
Eu1 0.000 0.000 0.500
Tl1 0.250 0.250 0.750
Pt1 0.250 0.250 0.250
```

EuTaPt2: relaxed, PBE-GGA.

Properties
density of states at the Fermi level: 3.260 states/eV per atom
electronic total energy: -9.17 eV per atom
ΔE to the lowest computed polymorph: 0.0246 eV/atom
crystal system: trigonal

```
data_EuTaPt2
_space_group_name_H-M_alt 'R -3 m'
_space_group_IT_number 166
_space_group_name_Hall '-R 3 2"'
_cell_length_a 4.4905
_cell_length_b 4.4905
_cell_length_c 15.5206
_cell_angle_alpha 90.00
_cell_angle_beta 90.00
_cell_angle_gamma 120.00
loop_
_atom_site_label
_atom_site_fract_x
_atom_site_fract_y
_atom_site_fract_z
Eu1 0.0000 0.0000 0.0000
Ta1 0.0000 0.0000 0.5000
Pt1 0.0000 0.0000 0.2055
```

EuTaPt2: relaxed, PBE-GGA.

Properties
density of states at the Fermi level: 1.814 states/eV per atom
electronic total energy: -9.20 eV per atom
ΔE to the lowest computed polymorph: 0.0000 eV/atom
crystal system: tetragonal

```
data_EuTaPt2
_space_group_name_H-M_alt 'P 4/m m m'
_space_group_IT_number 123
_space_group_name_Hall '-P 4 2'
_cell_length_a 3.312
_cell_length_b 3.312
_cell_length_c 7.413
_cell_angle_alpha 90.00
_cell_angle_beta 90.00
_cell_angle_gamma 90.00
loop_
_atom_site_label
_atom_site_fract_x
_atom_site_fract_y
_atom_site_fract_z
Eu1 0.000 0.000 0.000
Ta1 0.000 0.000 0.500
Pt1 0.500 0.500 0.307
```

TbEuPt2: relaxed, PBE-GGA.

Properties
density of states at the Fermi level: 3.146 states/eV per atom
electronic total energy: -7.71 eV per atom
crystal system: trigonal

```
data_TbEuPt2
_space_group_name_H-M_alt 'R -3 m'
_space_group_IT_number 166
_space_group_name_Hall '-R 3 2"'
_cell_length_a 4.1429
_cell_length_b 4.1429
_cell_length_c 20.4072
_cell_angle_alpha 90.00
_cell_angle_beta 90.00
_cell_angle_gamma 120.00
loop_
_atom_site_label
_atom_site_fract_x
_atom_site_fract_y
_atom_site_fract_z
Tb1 0.0000 0.0000 0.0000
Eu1 0.0000 0.0000 0.5000
Pt1 0.0000 0.0000 0.2557
```

TbEuPt2: relaxed, PBE-GGA.

Properties
density of states at the Fermi level: 2.694 states/eV per atom
electronic total energy: -7.83 eV per atom
crystal system: tetragonal

```
data_TbEuPt2
_space_group_name_H-M_alt 'P 4/m m m'
_space_group_IT_number 123
_space_group_name_Hall '-P 4 2'
_cell_length_a 3.532
_cell_length_b 3.532
_cell_length_c 7.199
_cell_angle_alpha 90.00
_cell_angle_beta 90.00
_cell_angle_gamma 90.00
loop_
_atom_site_label
_atom_site_fract_x
_atom_site_fract_y
_atom_site_fract_z
Tb1 0.000 0.000 0.000
Eu1 0.000 0.000 0.500
Pt1 0.500 0.500 0.225
```

Tb2EuPt: relaxed, PBE-GGA.

Properties
density of states at the Fermi level: 0.988 states/eV per atom
electronic total energy: -6.96 eV per atom
ΔE to the lowest computed polymorph: 0.0000 eV/atom
crystal system: tetragonal

```
data_Tb2EuPt
_space_group_name_H-M_alt 'P 4/m m m'
_space_group_IT_number 123
_space_group_name_Hall '-P 4 2'
_cell_length_a 3.587
_cell_length_b 3.587
_cell_length_c 9.084
_cell_angle_alpha 90.00
_cell_angle_beta 90.00
_cell_angle_gamma 90.00
loop_
_atom_site_label
_atom_site_fract_x
_atom_site_fract_y
_atom_site_fract_z
Tb1 0.000 0.000 0.179
Eu1 0.500 0.500 0.500
Pt1 0.500 0.500 0.000
```